[1]
# Er2HgPb

A relaxed structure of Er2HgPb (PBE, Alexandria via LeMat-Bulk).

Cell and atoms, written as extended XYZ:
```
4
Lattice="5.1817 0.0000 0.0000 0.0000 5.1817 0.0000 0.0000 0.0000 3.9381" Properties=species:S:1:pos:R:3 pbc="T T T"
Er 0.0000 2.5908 0.0000
Er 2.5908 0.0000 0.0000
Hg 0.0000 0.0000 1.9690
Pb 2.5908 2.5908 1.9690
```

Results
ΔE_f   -41.6 kJ/mol of atoms
DOS(E_F)   3.39 states/eV/cell
Size of the total moment   0.0 μB per formula unit

=====

[2]
# Er2HgPb

A relaxed structure of Er2HgPb (PBE, Alexandria via LeMat-Bulk).

Cell and atoms, written as extended XYZ:
```
4
Lattice="2.2391 1.2927 6.9942 -2.2391 1.2927 6.9942 0.0000 -2.5855 6.9942" Properties=species:S:1:pos:R:3 pbc="T T T"
Er 0.0000 0.0000 0.0000
Er 0.0000 0.0000 3.7020
Hg 0.0000 0.0000 8.8347
Pb 0.0000 0.0000 12.3128
```

Results
ΔE_f   -25.5 kJ/mol of atoms
DOS(E_F)   1.95 states/eV/cell
Size of the total moment   0.0 μB per formula unit

=====

[3]
# ErHg2Pb2

A relaxed structure of ErHg2Pb2 (PBE, Alexandria via LeMat-Bulk).

Cell and atoms, written as extended XYZ:
```
10
Lattice="2.3910 -11.7370 0.0000 2.3910 11.7370 0.0000 0.0000 0.0000 4.7447" Properties=species:S:1:pos:R:3 pbc="T T T"
Er 2.3910 8.5280 3.5585
Er 2.3910 -8.5280 1.1862
Hg 2.3910 10.7059 1.1862
Hg 2.3910 1.0722 1.1862
Hg 2.3910 -1.0722 3.5585
Hg 2.3910 -10.7059 3.5585
Pb 2.3910 5.8839 1.1862
Pb 2.3910 3.3381 3.5585
Pb 2.3910 -3.3381 1.1862
Pb 2.3910 -5.8839 3.5585
```

Results
ΔE_f   -18.5 kJ/mol of atoms
DOS(E_F)   4.60 states/eV/cell
Size of the total moment   0.0 μB per formula unit

=====

[4]
# ErHgPb

A relaxed structure of ErHgPb (PBE, Alexandria via LeMat-Bulk).

Cell and atoms, written as extended XYZ:
```
3
Lattice="-1.8514 1.8514 5.9113 1.8514 -1.8514 5.9113 1.8514 1.8514 -5.9113" Properties=species:S:1:pos:R:3 pbc="T T T"
Er 0.0000 0.0000 0.0000
Hg 0.0000 0.0000 4.1972
Pb 0.0000 0.0000 8.1161
```

Results
ΔE_f   -25.0 kJ/mol of atoms
DOS(E_F)   2.34 states/eV/cell
Size of the total moment   0.1 μB per formula unit

=====

- What is the DOS(E_F) in the first record?
  3.39 states/eV/cell